Density functional theory data (PBE-GGA) for Sm3Au after structural relaxation.

Formation energy   -0.354 eV/atom
Energy above the lowest structure with this stoichiometry   53 meV per atom
Density of states at the Fermi level   28.46 states/eV per cell
SG   I-4 (82)
Raw total energy   -4.71 eV per atom
Spin magnetization   0.124 μB per cell

a b c (Å): 6.251 9.226 9.226
angles (deg): 83.41 70.20 70.20
Atoms (fractional coordinates):
Sm  0.036  0.410  0.991
Sm  0.355  0.991  0.809
Sm  0.836  0.809  0.009
Sm  0.654  0.191  0.991
Sm  0.508  0.354  0.638
Sm  0.554  0.009  0.410
Au  0.998  0.714  0.299
Sm  0.500  0.646  0.362
Sm  0.974  0.991  0.590
Sm  0.437  0.590  0.009
Sm  0.138  0.362  0.354
Au  0.289  0.701  0.714
Au  0.011  0.286  0.701
Sm  0.854  0.638  0.646
Sm  0.155  0.009  0.191
Au  0.703  0.299  0.286